The following is a DFT calculation (PBE) of Ir2Pd2Au after structural relaxation.

a b c (Å): 7.6950 7.6950 2.7738
angles (deg): 90.00 90.00 90.00
With the nearest neighbours (Å) after each atom.
Fractional positions:
Ir (0.3826, 0.8826, 0.0000)  3 Ir 2.56-2.77, 6 Pd 2.60-2.72
Ir (0.8826, 0.6174, 0.0000)  3 Ir 2.56-2.77, 6 Pd 2.60-2.72
Ir (0.6174, 0.1174, 0.0000)  3 Ir 2.56-2.77, 6 Pd 2.60-2.72
Ir (0.1174, 0.3826, 0.0000)  3 Ir 2.56-2.77, 6 Pd 2.60-2.72
Au (0.0000, 0.0000, 0.0000)  2 Au 2.77, 4 Ir 3.08
Au (0.5000, 0.5000, 0.0000)  2 Au 2.77, 4 Ir 3.08
Pd (0.1805, 0.6805, 0.5000)  6 Ir 2.60-2.72, 2 Pd 2.77
Pd (0.6805, 0.8195, 0.5000)  6 Ir 2.60-2.72, 2 Pd 2.77
Pd (0.8195, 0.3195, 0.5000)  6 Ir 2.60-2.72, 2 Pd 2.77
Pd (0.3195, 0.1805, 0.5000)  6 Ir 2.60-2.72, 2 Pd 2.77

Size of the total moment, μB per formula unit: 0.00
SG: No. 127
Energy relative to the elements, eV per atom: 0.388
Total energy, Ry per atom: -0.43282


The following is a DFT calculation (PBE) of IrPd2Au2 after structural relaxation.

a b c (Å): 6.7667 6.7667 3.8070
angles (deg): 90.00 90.00 90.00
With the nearest neighbours (Å) after each atom.
Fractional positions:
Ir (0.0000, 0.0000, 0.0000)  4 Pd 2.62
Ir (0.5000, 0.5000, 0.0000)  4 Pd 2.62
Au (0.1637, 0.6637, 0.5000)  6 Pd 2.68-2.80
Au (0.6637, 0.8363, 0.5000)  6 Pd 2.68-2.80
Au (0.8363, 0.3363, 0.5000)  6 Pd 2.68-2.80
Au (0.3363, 0.1637, 0.5000)  6 Pd 2.68-2.80
Pd (0.3612, 0.8612, 0.0000)  2 Ir 2.62, 1 Pd 2.66, 6 Au 2.68-2.80
Pd (0.8612, 0.6388, 0.0000)  2 Ir 2.62, 1 Pd 2.66, 6 Au 2.68-2.80
Pd (0.6388, 0.1388, 0.0000)  2 Ir 2.62, 1 Pd 2.66, 6 Au 2.68-2.80
Pd (0.1388, 0.3612, 0.0000)  2 Ir 2.62, 1 Pd 2.66, 6 Au 2.68-2.80

Size of the total moment, μB per formula unit: 1.24
SG: No. 127
Energy relative to the elements, eV per atom: 0.485
Total energy, Ry per atom: -0.34360


Copy entry 2 word for word.
The following is a DFT calculation (PBE) of IrPd2Au2 after structural relaxation.

a b c (Å): 6.7667 6.7667 3.8070
angles (deg): 90.00 90.00 90.00
With the nearest neighbours (Å) after each atom.
Fractional positions:
Ir (0.0000, 0.0000, 0.0000)  4 Pd 2.62
Ir (0.5000, 0.5000, 0.0000)  4 Pd 2.62
Au (0.1637, 0.6637, 0.5000)  6 Pd 2.68-2.80
Au (0.6637, 0.8363, 0.5000)  6 Pd 2.68-2.80
Au (0.8363, 0.3363, 0.5000)  6 Pd 2.68-2.80
Au (0.3363, 0.1637, 0.5000)  6 Pd 2.68-2.80
Pd (0.3612, 0.8612, 0.0000)  2 Ir 2.62, 1 Pd 2.66, 6 Au 2.68-2.80
Pd (0.8612, 0.6388, 0.0000)  2 Ir 2.62, 1 Pd 2.66, 6 Au 2.68-2.80
Pd (0.6388, 0.1388, 0.0000)  2 Ir 2.62, 1 Pd 2.66, 6 Au 2.68-2.80
Pd (0.1388, 0.3612, 0.0000)  2 Ir 2.62, 1 Pd 2.66, 6 Au 2.68-2.80

Size of the total moment, μB per formula unit: 1.24
SG: No. 127
Energy relative to the elements, eV per atom: 0.485
Total energy, Ry per atom: -0.34360